First-principles (meta-GGA SCAN) data for a crystal of NaMo3P3O16 relaxed with PBEsol, as listed in Alexandria via LeMat-Bulk.

Output
**Total energy**: -12.71 eV/atom
**Space-group type**: P-1
**Density of states at the Fermi level**: 1.18 states/eV/f.u.
**Crystal system**: triclinic
**E_form (uncorrected)**: -220.9 kJ per mole of atoms

Unit cell a=6.4130 b=7.6522 c=12.8302 alpha=79.69 beta=79.04 gamma=81.86
Sites, in units of the cell vectors:
Na1 0.5923 0.3267 0.3224
Na2 0.4077 0.6733 0.6776
Mo1 0.2028 0.2129 0.5358
Mo2 0.7972 0.7871 0.4642
Mo3 0.4054 0.7544 0.1626
Mo4 0.5946 0.2456 0.8374
Mo5 0.0623 0.2066 0.1456
Mo6 0.9377 0.7934 0.8544
P1 0.5768 0.1600 0.1028
P2 0.4232 0.8400 0.8972
P3 0.3096 0.8516 0.4213
P4 0.6904 0.1484 0.5787
P5 0.0580 0.4902 0.3159
P6 0.9420 0.5098 0.6841
O1 0.2071 0.0351 0.6324
O2 0.7929 0.9649 0.3676
O3 0.8950 0.2352 0.5265
O4 0.1050 0.7648 0.4735
O5 0.5187 0.2417 0.5107
O6 0.4813 0.7583 0.4893
O7 0.2768 0.0548 0.4191
O8 0.7232 0.9452 0.5809
O9 0.1443 0.4129 0.6226
O10 0.8557 0.5871 0.3774
O11 0.2202 0.4072 0.3894
O12 0.7798 0.5928 0.6106
O13 0.0884 0.3049 0.0179
O14 0.9116 0.6951 0.9821
O15 0.9743 0.3429 0.2694
O16 0.0257 0.6571 0.7306
O17 0.7488 0.1917 0.1659
O18 0.2512 0.8083 0.8341
O19 0.1440 0.9802 0.1463
O20 0.8560 0.0198 0.8537
O21 0.3606 0.2404 0.1628
O22 0.6394 0.7596 0.8372
O23 0.5977 0.5846 0.1761
O24 0.4023 0.4154 0.8239
O25 0.3722 0.7426 0.0127
O26 0.6278 0.2574 0.9873
O27 0.1578 0.6185 0.2183
O28 0.8422 0.3815 0.7817
O29 0.3839 0.8210 0.3050
O30 0.6161 0.1790 0.6950
O31 0.5773 0.9588 0.1042
O32 0.4227 0.0412 0.8958